No. 1
Material: SiPt2
Method: DFT, GGA-PBE
State: optimized geometry

Cell lengths 5.482, 5.482, 6.824 Å; angles 117.35, 117.35, 30.31 degrees
Sites, in units of the cell vectors:
Si: 0.077 0.077 0.259
Si: 0.923 0.923 0.741
Pt: 0.345 0.345 0.415
Pt: 0.373 0.373 0.016
Pt: 0.627 0.627 0.984
Pt: 0.655 0.655 0.585

Calculated values
- total energy (eV per formula unit) = -19.0

---

No. 2
Material: CaMnIr
Method: DFT, GGA-PBE
State: optimized geometry

Cell lengths 2.917, 5.842, 7.035 Å; angles 94.05, 101.96, 104.42 degrees
Sites, in units of the cell vectors:
Ca: 0.000 0.000 0.000
Ca: 0.386 0.263 0.507
Mn: 0.206 0.500 0.909
Mn: 0.826 0.515 0.134
Ir: 0.194 0.732 0.655
Ir: 0.569 0.787 0.351

Calculated values
- polymorph energy (0 for the lowest one) (eV per formula unit) = 1.09

---

No. 3
Material: TeAsSe2Br
Method: DFT, GGA-PBE
State: optimized geometry

Cell lengths 5.453, 5.453, 5.401 Å; angles 90.00, 90.00, 90.00 degrees
Sites, in units of the cell vectors:
Te: 0.000 0.000 0.000
As: 0.500 0.500 0.500
Se: 0.000 0.500 0.000
Se: 0.500 0.000 0.000
Br: 0.000 0.000 0.500

Calculated values
- polymorph energy (0 for the lowest one) (eV per formula unit) = 1.50

---

No. 4
Material: CaAc2Bi3Rh4
Method: DFT, GGA-PBE
State: optimized geometry

Cell lengths 4.579, 4.579, 11.811 Å; angles 90.00, 90.00, 90.00 degrees
Sites, in units of the cell vectors:
Ca: 0.000 0.000 0.000
Ac: 0.000 0.500 0.739
Ac: 0.500 0.000 0.261
Bi: 0.000 0.500 0.375
Bi: 0.500 0.000 0.625
Bi: 0.500 0.500 0.000
Rh: 0.000 0.000 0.500
Rh: 0.000 0.500 0.148
Rh: 0.500 0.000 0.852
Rh: 0.500 0.500 0.500

Calculated values
- total energy (eV per formula unit) = -56.9